Computed, not measured: crystalline La12Tl3H5 at its relaxed geometry at the PBE-GGA level of DFT.

The energy comes out at -4.38 eV per atom.

The structure belongs to space group Ia-3d (No. 230); the cell edges are 16.554, 16.554 and 16.554 Å and the angles 90.00°, 90.00° and 90.00°. The inequivalent atoms are La at (0.041, 0.056, 0.650), Tl at (0.000, 0.250, 0.125), H at (0.000, 0.000, 0.000) and H at (0.000, 0.250, 0.375).

***

Computed, not measured: crystalline La2TlH2 at its relaxed geometry at the PBE-GGA level of DFT.

The calculation puts the energy above the most stable polymorph in this dataset at 0.3419 eV per atom.

The structure belongs to space group P4/mbm (No. 127); the cell edges are 7.840, 7.840 and 3.267 Å and the angles 90.00°, 90.00° and 90.00°. The inequivalent atoms are La at (0.157, 0.343, 0.000), Tl at (0.000, 0.000, 0.500) and H at (0.102, 0.602, 0.500).

***

Computed, not measured: crystalline La2TlZnH at its relaxed geometry at the PBE-GGA level of DFT.

The calculation puts the energy above the most stable polymorph in this dataset at 0.0952 eV per atom.

The structure belongs to space group P4/mmm (No. 123); the cell edges are 5.039, 5.039 and 4.623 Å and the angles 90.00°, 90.00° and 90.00°. The inequivalent atoms are La at (0.000, 0.500, 0.000), Tl at (0.000, 0.000, 0.500), Zn at (0.500, 0.500, 0.500) and H at (0.000, 0.000, 0.000).

***

Q: Number 3 is which compound?
A: La2TlZnH